A plane-wave DFT calculation with PBE was carried out for VBAs2Br after structural relaxation.

Unit cell a=4.2510 b=4.2510 c=5.1539 alpha=90.00 beta=90.00 gamma=90.00
Last column: nearest neighbours and their distance in Å.
Positions (direct):
V 0.0000 0.0000 0.0000  4 Br 3.01, 8 As 3.34
B 0.5000 0.5000 0.5000  4 As 2.13
As 0.0000 0.5000 0.5000  2 B 2.13
As 0.5000 0.0000 0.5000  2 B 2.13
Br 0.5000 0.5000 0.0000  2 B 2.58

Computed properties:
symmetry: No. 123
density: 5.20 g/cm3
E_form (uncorrected): 0.88 eV per atom
electronic total energy: -4.47 eV/atom